VASP calculation (PBE) on crystalline La3In4Ag2 at its relaxed geometry.

Calculated values
Total moment = 0.004 μB/cell
DFT total energy = -35.81 eV per formula unit
Crystal system = monoclinic

a b c (Å): 11.6036 4.9668 9.4166
angles (deg): 90.00 115.11 90.00
Space group C2/m (No. 12)
Asymmetric unit:
La (0.0000, 0.0000, 0.0000)
La (0.1742, 0.5000, 0.6533)
In (0.0306, 0.0000, 0.3634)
In (0.2386, 0.5000, 0.0800)
Ag (0.0975, 0.5000, 0.2678)